No. 1
## GaBSb (PBE)

Data for a relaxed structure of GaBSb.

Properties
For the density, the calculation gives 5.8 g/cm³.

a = 7.647 Å, b = 4.303 Å, c = 7.478 Å
α = 90.00°, β = 110.68°, γ = 90.00°
Atoms (fractional coordinates):
Ga  0.156  0.248  0.364
Ga  0.156  0.252  0.864
Ga  0.844  0.748  0.136
Ga  0.844  0.752  0.636
B  0.093  0.502  0.601
B  0.093  0.998  0.101
B  0.907  0.002  0.899
B  0.907  0.498  0.399
Sb  0.327  0.621  0.174
Sb  0.327  0.879  0.674
Sb  0.673  0.121  0.326
Sb  0.673  0.379  0.826

No. 2
## Cu2Ag2Te5 (PBE)

Data for a relaxed structure of Cu2Ag2Te5.

Properties
For the density, the calculation gives 6.9 g/cm³.

a = 10.850 Å, b = 10.850 Å, c = 10.850 Å
α = 54.41°, β = 143.34°, γ = 141.24°
Atoms (fractional coordinates):
Cu  0.000  0.000  0.000
Cu  0.000  0.500  0.500
Cu  0.111  0.298  0.313
Cu  0.984  0.798  0.687
Ag  0.576  0.205  0.621
Ag  0.576  0.456  0.871
Ag  0.585  0.705  0.129
Ag  0.585  0.956  0.379
Te  0.068  0.590  0.753
Te  0.068  0.815  0.978
Te  0.083  0.240  0.742
Te  0.083  0.841  0.343
Te  0.308  0.152  0.655
Te  0.497  0.652  0.345
Te  0.498  0.341  0.258
Te  0.498  0.740  0.657
Te  0.837  0.090  0.022
Te  0.837  0.315  0.247

No. 3
## BaLiScBr6 (PBE)

Data for a relaxed structure of BaLiScBr6.

Properties
For the density, the calculation gives 3.7 g/cm³.

a = 7.086 Å, b = 7.086 Å, c = 13.927 Å
α = 90.00°, β = 90.00°, γ = 120.00°
Atoms (fractional coordinates):
Ba  0.000  0.000  0.000
Ba  0.000  0.000  0.500
Li  0.333  0.667  0.250
Li  0.667  0.333  0.750
Sc  0.333  0.667  0.750
Sc  0.667  0.333  0.250
Br  0.010  0.375  0.640
Br  0.010  0.634  0.860
Br  0.366  0.375  0.860
Br  0.366  0.990  0.640
Br  0.375  0.010  0.140
Br  0.375  0.366  0.360
Br  0.625  0.634  0.640
Br  0.625  0.990  0.860
Br  0.634  0.010  0.360
Br  0.634  0.625  0.140
Br  0.990  0.366  0.140
Br  0.990  0.625  0.360

No. 4
## ScTaIn (PBE)

Data for a relaxed structure of ScTaIn.

Properties
Its energy above the most stable polymorph in this dataset is 670 meV/atom. For the density, the calculation gives 7.8 g/cm³. The value obtained for the formation energy is 1.8 eV/f.u.

a = 4.675 Å, b = 4.675 Å, c = 4.675 Å
α = 60.00°, β = 60.00°, γ = 60.00°
Atoms (fractional coordinates):
Sc  0.000  0.000  0.000
Ta  0.500  0.500  0.500
In  0.750  0.750  0.750

No. 5
## Ca2Fe2P2C (PBE)

Data for a relaxed structure of Ca2Fe2P2C.

Properties
For the density, the calculation gives 4.0 g/cm³. The value obtained for the formation energy is -4.8 eV/f.u.

a = 5.616 Å, b = 5.616 Å, c = 6.709 Å
α = 122.70°, β = 122.70°, γ = 39.43°
Atoms (fractional coordinates):
Ca  0.059  0.059  0.308
Ca  0.941  0.941  0.692
Fe  0.310  0.310  0.927
Fe  0.690  0.690  0.073
P  0.312  0.312  0.259
P  0.688  0.688  0.741
C  0.500  0.500  0.000

No. 6
## InPH4O6 (PBE)

Data for a relaxed structure of InPH4O6.

Properties
Its energy above the most stable polymorph in this dataset is 5 meV/atom. For the density, the calculation gives 3.3 g/cm³.

a = 8.904 Å, b = 10.277 Å, c = 10.684 Å
α = 90.00°, β = 90.00°, γ = 90.00°
Atoms (fractional coordinates):
In  0.154  0.170  0.132
In  0.154  0.330  0.632
In  0.346  0.670  0.132
In  0.346  0.830  0.632
In  0.654  0.170  0.368
In  0.654  0.330  0.868
In  0.846  0.670  0.368
In  0.846  0.830  0.868
P  0.025  0.644  0.650
P  0.025  0.856  0.150
P  0.475  0.144  0.650
P  0.475  0.356  0.150
P  0.525  0.644  0.850
P  0.525  0.856  0.350
P  0.975  0.144  0.850
P  0.975  0.356  0.350
H  0.143  0.552  0.968
H  0.143  0.948  0.468
H  0.166  0.572  0.331
H  0.166  0.928  0.831
H  0.196  0.171  0.377
H  0.196  0.329  0.877
H  0.207  0.046  0.571
H  0.207  0.454  0.071
H  0.293  0.546  0.571
H  0.293  0.954  0.071
H  0.304  0.671  0.377
H  0.304  0.829  0.877
H  0.334  0.072  0.331
H  0.334  0.428  0.831
H  0.357  0.052  0.968
H  0.357  0.448  0.468
H  0.643  0.552  0.532
H  0.643  0.948  0.032
H  0.666  0.572  0.169
H  0.666  0.928  0.669
H  0.696  0.171  0.123
H  0.696  0.329  0.623
H  0.707  0.046  0.929
H  0.707  0.454  0.429
H  0.793  0.546  0.929
H  0.793  0.954  0.429
H  0.804  0.671  0.123
H  0.804  0.829  0.623
H  0.834  0.072  0.169
H  0.834  0.428  0.669
H  0.857  0.052  0.532
H  0.857  0.448  0.032
O  0.001  0.698  0.782
O  0.001  0.802  0.282
O  0.002  0.506  0.355
O  0.002  0.994  0.855
O  0.088  0.212  0.942
O  0.088  0.288  0.442
O  0.163  0.543  0.057
O  0.163  0.957  0.557
O  0.190  0.669  0.608
O  0.190  0.831  0.108
O  0.227  0.101  0.317
O  0.227  0.399  0.817
O  0.273  0.601  0.317
O  0.273  0.899  0.817
O  0.310  0.169  0.608
O  0.310  0.331  0.108
O  0.337  0.043  0.057
O  0.337  0.457  0.557
O  0.412  0.712  0.942
O  0.412  0.788  0.442
O  0.498  0.006  0.355
O  0.498  0.494  0.855
O  0.499  0.198  0.782
O  0.499  0.302  0.282
O  0.501  0.698  0.718
O  0.501  0.802  0.218
O  0.502  0.506  0.145
O  0.502  0.994  0.645
O  0.588  0.212  0.558
O  0.588  0.288  0.058
O  0.663  0.543  0.443
O  0.663  0.957  0.943
O  0.690  0.669  0.892
O  0.690  0.831  0.392
O  0.727  0.101  0.183
O  0.727  0.399  0.683
O  0.773  0.601  0.183
O  0.773  0.899  0.683
O  0.810  0.169  0.892
O  0.810  0.331  0.392
O  0.837  0.043  0.443
O  0.837  0.457  0.943
O  0.912  0.712  0.558
O  0.912  0.788  0.058
O  0.998  0.006  0.145
O  0.998  0.494  0.645
O  0.999  0.198  0.718
O  0.999  0.302  0.218

no.,energy (eV per atom)
1,-4.24
2,-3.23
3,-4.05
4,-6.36
5,-6.54
6,-5.82